# PBE-GGA PbS3O12, relaxed
data_PbS3O12
_cell_length_a 9.0685
_cell_length_b 9.0685
_cell_length_c 23.3888
_cell_angle_alpha 90.00
_cell_angle_beta 90.00
_cell_angle_gamma 120.00
_symmetry_space_group_name_H-M 'R 3 c'
_symmetry_Int_Tables_number 161
_symmetry_space_group_name_Hall 'R 3 -2"c'
loop_
_atom_site_label
_atom_site_type_symbol
_atom_site_fract_x
_atom_site_fract_y
_atom_site_fract_z
Pb1 Pb 0.0000 0.0000 0.0000
S1 S 0.0917 0.3771 0.0600
O1 O 0.1349 0.3569 0.3866
O2 O 0.1496 0.4760 0.7300
O3 O 0.1794 0.4209 0.1184
O4 O 0.2166 0.4380 0.0135
# **Crystal system**: trigonal
# **Formation energy from raw total energies**: -0.91 eV/atom
# **Mass density**: 3.0 g/cm3